A plane-wave DFT calculation with GGA-PBE was carried out for Sm8GaTe4As3 after structural relaxation.

Computed properties:
**Calculated volume**: 28.96 Å³/atom
**Energy relative to the elements, uncorrected**: -2168 kJ/mol of formula units
**Total magnetic moment**: 0.0 Bohr magnetons per cell
**Total DFT energy (no corrections)**: -5.610 eV/atom
**Crystal system**: trigonal

a b c (Å): 8.6167 8.6167 21.6203
angles (deg): 90.00 90.00 120.00
Space group R-3m (No. 166, hexagonal axes)
Unique sites:
Sm 0.0000 0.0000 0.2401
Sm 0.0018 0.5009 0.2414
Ga 0.0000 0.0000 0.5000
Te 0.0000 0.0000 0.0000
Te 0.0000 0.5000 0.0000
As 0.0000 0.5000 0.5000